A geometry-optimized Na2AuBr structure. Source: the Alexandria database, functional PBE-GGA.

The structure in extended XYZ format:
```
4
Lattice="2.1074 1.2167 7.1701 -2.1074 1.2167 7.1701 0.0000 -2.4335 7.1701" Properties=species:S:1:pos:R:3 pbc="T T T"
Na 0.0000 0.0000 5.3224
Na 0.0000 0.0000 16.1878
Au 0.0000 0.0000 0.0000
Br 0.0000 0.0000 10.7551
```

Results
Total moment, μB per formula unit: 0.00
Space-group type: No. 166
ρ, Mg/m³: 4.9
Uncorrected energy, eV/cell: -10.936
Distance to the lowest polymorph of the same formula, eV/atom: 0.0000